Entry 1:
Below is a relaxed structure of Pa2Ge3SbRh4, with properties calculated at the PBE-GGA level.

Values from the calculation:
- Formation energy (no corrections): -0.690 eV/atom
- Space-group type: No. 115
- Magnetization: 0.0 μB per formula unit
- DOS at the Fermi energy: 3.0 states/eV per cell
- Theoretical density: 10.88 g/cm3

Cell lengths 4.108, 4.108, 10.971 Å; angles 90.00, 90.00, 90.00 degrees
Fractional coordinates of all 10 atoms:
Rh  0.000  0.000  0.000
Rh  0.000  0.500  0.346
Rh  0.500  0.000  0.654
Rh  0.500  0.500  0.000
Ge  0.000  0.500  0.128
Ge  0.000  0.000  0.500
Ge  0.500  0.000  0.872
Pa  0.500  0.000  0.233
Pa  0.000  0.500  0.767
Sb  0.500  0.500  0.500

=====

Entry 2:
Below is a relaxed structure of ScPaGe2Rh5, with properties calculated at the PBE-GGA level.

Values from the calculation:
- Space-group type: No. 123
- Magnetization: 0.0 μB per formula unit
- DOS at the Fermi energy: 4.6 states/eV per cell
- E_form: -721 meV/atom
- Theoretical density: 10.38 g/cm3

Cell lengths 4.144, 4.144, 8.718 Å; angles 90.00, 90.00, 90.00 degrees
Fractional coordinates of all 9 atoms:
Rh  0.000  0.500  0.278
Rh  0.500  0.000  0.722
Rh  0.500  0.500  0.500
Rh  0.500  0.000  0.278
Rh  0.000  0.500  0.722
Pa  0.000  0.000  0.000
Ge  0.500  0.500  0.860
Ge  0.500  0.500  0.140
Sc  0.000  0.000  0.500

=====

Entry 3:
Below is a relaxed structure of Pa4GeRhSe2, with properties calculated at the PBE-GGA level.

Values from the calculation:
- Formation energy (no corrections): -0.852 eV/atom
- Space-group type: No. 10
- Magnetization: 0.0 μB per formula unit
- DOS at the Fermi energy: 13.4 states/eV per cell
- Theoretical density: 10.85 g/cm3

Cell lengths 3.961, 7.091, 7.218 Å; angles 71.75, 90.00, 90.00 degrees
Fractional coordinates of all 8 atoms:
Rh  0.500  0.500  0.000
Pa  0.500  0.256  0.755
Pa  0.000  0.267  0.235
Pa  0.500  0.744  0.245
Pa  0.000  0.733  0.765
Ge  0.000  0.500  0.500
Se  0.500  0.000  0.500
Se  0.000  0.000  0.000

=====

Entry 4:
Below is a relaxed structure of Pa2Si4GeRh3, with properties calculated at the PBE-GGA level.

Values from the calculation:
- Formation energy (no corrections): -0.762 eV/atom
- Space-group type: No. 115
- Magnetization: 0.0 μB per formula unit
- DOS at the Fermi energy: 6.7 states/eV per cell
- Theoretical density: 9.34 g/cm3

Cell lengths 4.201, 4.201, 9.630 Å; angles 90.00, 90.00, 90.00 degrees
Fractional coordinates of all 10 atoms:
Si  0.000  0.000  0.000
Si  0.500  0.500  0.000
Si  0.000  0.500  0.362
Si  0.500  0.000  0.638
Ge  0.500  0.500  0.500
Pa  0.500  0.000  0.247
Pa  0.000  0.500  0.753
Rh  0.000  0.000  0.500
Rh  0.500  0.000  0.877
Rh  0.000  0.500  0.123